*i*
A plane-wave DFT calculation with PBE was carried out for a relaxed Tb2Pm8Tl crystal.

## Properties
**Space-group type**: No. 71

a b c (Å): 5.574 7.690 9.956
angles (deg): 112.72 106.25 90.00
Fractional positions:
Pm1 0.000 0.261 0.000
Pm2 0.363 0.135 0.726
Tl1 0.500 0.000 0.000
Tb1 0.807 0.307 0.615
Pm3 0.821 0.821 0.641
Pm4 0.000 0.739 0.000
Pm5 0.363 0.590 0.726
Tb2 0.193 0.693 0.385
Pm6 0.637 0.865 0.274
Pm7 0.179 0.179 0.359
Pm8 0.637 0.410 0.274

---

*ii*
A plane-wave DFT calculation with PBE was carried out for a relaxed Tb2Pm8Tl crystal.

## Properties
**Space-group type**: No. 12

a b c (Å): 5.047 8.075 9.513
angles (deg): 105.01 105.38 90.00
Fractional positions:
Pm1 0.590 0.443 0.181
Tb1 0.224 0.634 0.448
Pm2 0.045 0.725 0.090
Tl1 0.500 0.000 0.000
Pm3 0.680 0.909 0.359
Pm4 0.137 0.179 0.273
Pm5 0.863 0.821 0.727
Tb2 0.776 0.366 0.552
Pm6 0.955 0.275 0.910
Pm7 0.320 0.091 0.641
Pm8 0.410 0.557 0.819

---

Of them, the most stable is *ii* and the least stable is *i*.

---

*i*
A plane-wave DFT calculation with PBE was carried out for a relaxed TbPm3Tl2 crystal.

## Properties
**Space-group type**: No. 12

a b c (Å): 5.053 8.625 10.278
angles (deg): 117.39 90.00 107.03
Fractional positions:
Tb1 0.118 0.237 0.067
Pm1 0.958 0.915 0.638
Tl1 0.510 0.020 0.859
Pm2 0.367 0.735 0.329
Tl2 0.241 0.481 0.896
Tl3 0.759 0.519 0.104
Pm3 0.042 0.085 0.362
Pm4 0.711 0.423 0.381
Pm5 0.289 0.577 0.619
Tl4 0.490 0.980 0.141
Tb2 0.882 0.763 0.933
Pm6 0.633 0.265 0.671

---

*ii*
A plane-wave DFT calculation with PBE was carried out for a relaxed TbPm3Tl2 crystal.

## Properties
**Space-group type**: No. 26

a b c (Å): 5.216 6.858 10.255
angles (deg): 90.00 90.00 90.00
Fractional positions:
Pm1 0.500 0.183 0.813
Pm2 0.000 0.318 0.319
Pm3 0.000 0.953 0.040
Tb1 0.500 0.044 0.460
Tl1 0.500 0.208 0.138
Tl2 0.000 0.794 0.365
Pm4 0.500 0.683 0.187
Tl3 0.000 0.294 0.635
Tl4 0.500 0.708 0.862
Pm5 0.000 0.453 0.960
Tb2 0.500 0.544 0.540
Pm6 0.000 0.818 0.681

---

Of them, the most stable is *ii* and the least stable is *i*.

---

*i*
A plane-wave DFT calculation with PBE was carried out for a relaxed Tb3PmTl crystal.

## Properties
**Space-group type**: No. 59

a b c (Å): 5.314 7.879 7.694
angles (deg): 90.00 90.00 89.96
Fractional positions:
Tl1 0.375 0.621 0.701
Tb1 0.875 0.460 0.488
Pm1 0.876 0.116 0.201
Tl2 0.876 0.731 0.201
Tb2 0.376 0.892 0.414
Tb3 0.375 0.379 0.201
Tb4 0.876 0.974 0.701
Tb5 0.376 0.892 0.987
Pm2 0.376 0.237 0.701
Tb6 0.875 0.460 0.914

---

*ii*
A plane-wave DFT calculation with PBE was carried out for a relaxed Tb3PmTl crystal.

## Properties
**Space-group type**: No. 166

a b c (Å): 6.158 6.158 6.158
angles (deg): 108.88 108.88 108.88
Last column: magnetic moment on the atom in μB.
Fractional positions:
Tl1 0.225 0.225 0.225  0.01
Tb1 0.225 0.725 0.225  0.36
Tb2 0.225 0.225 0.725  0.36
Tb3 0.725 0.225 0.225  0.36
Pm1 0.725 0.725 0.725  0.36

---

Of them, the most stable is *i* and the least stable is *ii*.

---

*i*
A plane-wave DFT calculation with PBE was carried out for a relaxed Tb6PmTl5 crystal.

## Properties
**Space-group type**: No. 71

a b c (Å): 5.050 8.816 9.193
angles (deg): 118.65 105.94 90.00
Fractional positions:
Tb1 0.170 0.906 0.341
Tb2 0.500 0.275 0.000
Pm1 0.000 0.000 0.000
Tl1 0.320 0.320 0.640
Tl2 0.649 0.149 0.298
Tl3 0.680 0.680 0.360
Tb3 0.500 0.725 0.000
Tl4 0.000 0.500 0.000
Tl5 0.351 0.851 0.702
Tb4 0.830 0.094 0.659
Tb5 0.170 0.435 0.341
Tb6 0.830 0.565 0.659

---

*ii*
A plane-wave DFT calculation with PBE was carried out for a relaxed Tb6PmTl5 crystal.

## Properties
**Space-group type**: No. 12

a b c (Å): 6.227 10.429 7.731
angles (deg): 47.59 80.65 76.06
Fractional positions:
Tl1 0.000 0.302 0.397
Tb1 0.736 0.456 0.638
Tb2 0.264 0.544 0.362
Tb3 0.264 0.906 0.638
Tb4 0.226 0.277 0.000
Tl2 0.500 0.500 0.000
Tl3 0.000 0.698 0.603
Tb5 0.736 0.094 0.362
Tl4 0.500 0.138 0.724
Pm1 0.000 0.000 0.000
Tb6 0.774 0.723 0.000
Tl5 0.500 0.862 0.276

---

Of them, the most stable is *i* and the least stable is *ii*.